# 1
! Mn2CuRh | Alexandria via LeMat-Bulk | PBE | optimized geometry; values from VASP
&SYSTEM
  ibrav = 0, nat = 4, ntyp = 3
/
ATOMIC_SPECIES
Mn 54.94 Mn.upf
Cu 63.55 Cu.upf
Rh 102.91 Rh.upf
CELL_PARAMETERS angstrom
2.8996 0.0000 0.0000
0.0000 3.4198 0.0000
0.0000 0.0000 5.3644
ATOMIC_POSITIONS angstrom
Mn 0.0000 0.0000 0.0000
Mn 1.4498 1.7099 1.3469
Cu 1.4498 1.7099 4.0896
Rh 0.0000 0.0000 2.7171
! Size of the total moment ... 0.01 μB/atom
! DFT formation energy ... -47 meV per atom
! Crystal system ... orthorhombic

---

# 2
! BaCoSbTe2 | Alexandria via LeMat-Bulk | PBE | optimized geometry; values from VASP
&SYSTEM
  ibrav = 0, nat = 5, ntyp = 4
/
ATOMIC_SPECIES
Ba 137.33 Ba.upf
Co 58.93 Co.upf
Sb 121.76 Sb.upf
Te 127.60 Te.upf
CELL_PARAMETERS angstrom
5.5694 0.0000 0.0000
0.0000 5.5694 0.0000
0.0000 0.0000 4.7369
ATOMIC_POSITIONS angstrom
Ba 0.0000 0.0000 0.0000
Co 2.7847 2.7847 2.3685
Sb 2.7847 2.7847 0.0000
Te 0.0000 2.7847 2.3685
Te 2.7847 0.0000 2.3685
! Size of the total moment ... 0.04 μB/atom
! Energy ... -4.34 eV/atom
! Crystal system ... tetragonal

---

# 3
! Ti2ReNi2 | Alexandria via LeMat-Bulk | PBE | optimized geometry; values from VASP
&SYSTEM
  ibrav = 0, nat = 10, ntyp = 3
/
ATOMIC_SPECIES
Ti 47.87 Ti.upf
Re 186.21 Re.upf
Ni 58.69 Ni.upf
CELL_PARAMETERS angstrom
6.9662 0.0000 0.0000
0.0000 6.9662 0.0000
0.0000 0.0000 2.8274
ATOMIC_POSITIONS angstrom
Ti 1.2314 2.2517 0.0000
Ti 2.2517 5.7348 0.0000
Ti 4.7145 1.2314 0.0000
Ti 5.7348 4.7145 0.0000
Re 0.0000 0.0000 1.4137
Re 3.4831 3.4831 1.4137
Ni 0.8564 4.3395 1.4137
Ni 2.6267 0.8564 1.4137
Ni 4.3395 6.1097 1.4137
Ni 6.1097 2.6267 1.4137
! Size of the total moment ... 0.00 μB/atom
! DFT formation energy ... -232 meV per atom
! Crystal system ... tetragonal

---

# 4
! NdY2ErTh | Alexandria via LeMat-Bulk | PBE | optimized geometry; values from VASP
&SYSTEM
  ibrav = 0, nat = 10, ntyp = 4
/
ATOMIC_SPECIES
Nd 144.24 Nd.upf
Y 88.91 Y.upf
Er 167.26 Er.upf
Th 232.04 Th.upf
CELL_PARAMETERS angstrom
8.6448 0.0000 0.0000
0.0000 6.4175 0.0000
-0.8846 0.0000 6.2494
ATOMIC_POSITIONS angstrom
Nd 0.0000 0.0000 0.0000
Nd -0.4423 0.0000 3.1247
Y 2.5383 2.0007 1.2959
Y 2.0960 4.4169 4.4206
Y 5.6642 2.0007 1.8288
Y 5.2219 4.4169 4.9534
Er 3.6590 1.1180 4.6870
Er 4.1013 5.2995 1.5623
Th -0.6634 2.8913 4.6870
Th -0.2211 3.5262 1.5623
! Size of the total moment ... 0.00 μB/atom
! DFT formation energy ... 340 meV per atom
! Crystal system ... monoclinic

---

# 5
! RbTl5In | Alexandria via LeMat-Bulk | PBE | optimized geometry; values from VASP
&SYSTEM
  ibrav = 0, nat = 7, ntyp = 3
/
ATOMIC_SPECIES
Rb 85.47 Rb.upf
Tl 204.38 Tl.upf
In 114.82 In.upf
CELL_PARAMETERS angstrom
5.2876 0.0000 0.0000
0.0000 5.2876 0.0000
0.0000 0.0000 9.6166
ATOMIC_POSITIONS angstrom
Rb 0.0000 0.0000 0.0000
Tl 0.0000 2.6438 2.8359
Tl 0.0000 2.6438 6.7807
Tl 2.6438 0.0000 2.8359
Tl 2.6438 0.0000 6.7807
Tl 2.6438 2.6438 4.8083
In 0.0000 0.0000 4.8083
! Size of the total moment ... 0.00 μB/atom
! DFT formation energy ... -14 meV per atom
! Crystal system ... tetragonal

---

# 6
! MgCdPb2 | Alexandria via LeMat-Bulk | PBE | optimized geometry; values from VASP
&SYSTEM
  ibrav = 0, nat = 4, ntyp = 3
/
ATOMIC_SPECIES
Mg 24.30 Mg.upf
Cd 112.41 Cd.upf
Pb 207.20 Pb.upf
CELL_PARAMETERS angstrom
-1.7899 2.8643 5.3999
1.7899 -2.8643 5.3999
1.7899 2.8643 -5.3999
ATOMIC_POSITIONS angstrom
Mg 0.0000 0.0000 0.0000
Cd 0.0000 0.0000 5.3999
Pb 1.7899 0.0000 2.6731
Pb 0.0000 2.8643 2.7268
! Size of the total moment ... 0.00 μB/atom
! DFT formation energy ... 41 meV per atom
! Crystal system ... orthorhombic

---

# 7
! Na4SbS5 | Alexandria via LeMat-Bulk | PBE | optimized geometry; values from VASP
&SYSTEM
  ibrav = 0, nat = 10, ntyp = 3
/
ATOMIC_SPECIES
Na 22.99 Na.upf
Sb 121.76 Sb.upf
S 32.06 S.upf
CELL_PARAMETERS angstrom
-4.4933 4.4933 2.9876
4.4933 -4.4933 2.9876
4.4933 4.4933 -2.9876
ATOMIC_POSITIONS angstrom
Na 6.3648 0.8998 0.0000
Na 0.8998 2.6217 0.0000
Na 3.5934 1.8715 2.9876
Na -1.8715 3.5934 2.9876
Sb 0.0000 0.0000 2.5834
S 0.0000 0.0000 0.2034
S 3.8079 2.1594 0.0686
S 2.3338 -0.6854 3.0562
S 2.1594 5.1786 0.0686
S 0.6854 2.3338 3.0562
! Size of the total moment ... 0.11 μB/atom
! Energy ... -3.68 eV/atom
! Crystal system ... tetragonal

---

# 8
! DySc2In | Alexandria via LeMat-Bulk | PBE | optimized geometry; values from VASP
&SYSTEM
  ibrav = 0, nat = 4, ntyp = 3
/
ATOMIC_SPECIES
Dy 162.50 Dy.upf
Sc 44.96 Sc.upf
In 114.82 In.upf
CELL_PARAMETERS angstrom
0.0000 3.6830 3.6830
3.6830 0.0000 3.6830
3.6830 3.6830 0.0000
ATOMIC_POSITIONS angstrom
Dy 0.0000 0.0000 0.0000
Sc 1.8415 1.8415 1.8415
Sc 3.6830 3.6830 3.6830
In 5.5245 5.5245 5.5245
! Size of the total moment ... 0.25 μB/atom
! DFT formation energy ... -156 meV per atom
! Crystal system ... cubic

---

Number 1: ρ 8626 kg/m3. Number 2: ρ 6478 kg/m3. Number 3: ρ 9666 kg/m3. Number 4: ρ 6910 kg/m3. Number 5: ρ 7548 kg/m3. Number 6: ρ 8264 kg/m3. Number 7: ρ 2574 kg/m3. Number 8: ρ 6103 kg/m3.